1.
KSrRh2 (PBE-GGA, optimized geometry); total moment = 0.9 Bohr magnetons per cell; energy relative to the lowest polymorph listed for this composition = 1.80 eV/f.u.; energy of formation from the pure elements = 0.546 eV/atom
1.0
3.0104 -4.5750 0.0000
3.0104 4.5750 0.0000
0.0000 0.0000 3.3161
K Sr Rh
1 1 2
direct
0.0000 0.0000 0.0000
0.5000 0.5000 0.0000
0.0000 0.5000 0.5000
0.5000 0.0000 0.5000

=====

2.
KSrRh2 (PBE-GGA, optimized geometry); total moment = 1.4 Bohr magnetons per cell; energy relative to the lowest polymorph listed for this composition = 1.75 eV/f.u.; energy of formation from the pure elements = 0.533 eV/atom
1.0
0.0000 3.5617 3.5617
3.5617 0.0000 3.5617
3.5617 3.5617 0.0000
K Sr Rh
1 1 2
direct
0.0000 0.0000 0.0000
0.7500 0.7500 0.7500
0.2500 0.2500 0.2500
0.5000 0.5000 0.5000

=====

3.
K2SrRh (PBE-GGA, optimized geometry); total moment = 0.6 Bohr magnetons per cell; energy of formation from the pure elements = 0.433 eV/atom
1.0
4.7204 0.0000 0.0000
0.0000 4.7322 0.0000
0.0000 0.0000 6.0997
K Sr Rh
2 1 1
direct
0.0000 0.0000 0.0000
0.5000 0.5000 0.0000
0.0000 0.5000 0.5000
0.5000 0.0000 0.5000

=====

4.
K2SrRh (PBE-GGA, optimized geometry); total moment = 0.0 Bohr magnetons per cell; energy of formation from the pure elements = 0.934 eV/atom
1.0
-4.1976 4.1976 6.3228
4.1976 -4.1976 6.3228
4.1976 4.1976 -6.3228
K Sr Rh
4 2 2
direct
0.3750 0.1233 0.2483
0.8733 0.6250 0.7483
0.8750 0.1267 0.7517
0.8767 0.1250 0.2517
0.2500 0.7500 0.5000
0.5000 0.5000 0.0000
0.0000 0.0000 0.0000
0.7500 0.2500 0.5000

=====

5.
KSr2Rh2 (PBE-GGA, optimized geometry); total moment = 0.0 Bohr magnetons per cell; energy of formation from the pure elements = 0.111 eV/atom
1.0
8.6054 0.0000 0.0000
0.0000 8.6054 0.0000
0.0000 0.0000 3.8117
K Sr Rh
2 4 4
direct
0.0000 0.0000 0.0000
0.5000 0.5000 0.0000
0.1583 0.3417 0.5000
0.3417 0.8417 0.5000
0.6583 0.1583 0.5000
0.8417 0.6583 0.5000
0.1203 0.6203 0.0000
0.3797 0.1203 0.0000
0.6203 0.8797 0.0000
0.8797 0.3797 0.0000

=====

6.
K4Sr2Rh (PBE-GGA, optimized geometry); total moment = 0.0 Bohr magnetons per cell; energy of formation from the pure elements = 0.462 eV/atom
1.0
-2.9083 2.9083 11.9998
2.9083 -2.9083 11.9998
2.9083 2.9083 -11.9998
K Sr Rh
4 2 1
direct
0.0000 0.5000 0.5000
0.1257 0.1257 0.0000
0.5000 0.0000 0.5000
0.8743 0.8743 0.0000
0.2955 0.2955 0.0000
0.7045 0.7045 0.0000
0.0000 0.0000 0.0000

=====

7.
KSrRh2 (PBE-GGA, optimized geometry); total moment = 0.6 Bohr magnetons per cell; energy relative to the lowest polymorph listed for this composition = 1.72 eV/f.u.; energy of formation from the pure elements = 0.527 eV/atom
1.0
-2.2115 2.2115 4.5994
2.2115 -2.2115 4.5994
2.2115 2.2115 -4.5994
K Sr Rh
1 1 2
direct
0.0000 0.0000 0.0000
0.5000 0.5000 0.0000
0.2500 0.7500 0.5000
0.7500 0.2500 0.5000

=====

8.
KSrRh2 (PBE-GGA, optimized geometry); total moment = 2.7 Bohr magnetons per cell; energy relative to the lowest polymorph listed for this composition = 2.39 eV/f.u.; energy of formation from the pure elements = 0.693 eV/atom
1.0
-4.1675 4.1675 2.8525
4.1675 -4.1675 2.8525
4.1675 4.1675 -2.8525
K Sr Rh
2 2 4
direct
0.0000 0.0000 0.0000
0.7500 0.2500 0.5000
0.2500 0.7500 0.5000
0.5000 0.5000 0.0000
0.1300 0.6250 0.0050
0.3750 0.3800 0.5050
0.6200 0.1250 0.9950
0.8750 0.8700 0.4950

=====

| no. | E_tot (eV per atom) |
| --- | --- |
| 1 | -3.82 |
| 2 | -3.84 |
| 3 | -2.37 |
| 4 | -1.87 |
| 5 | -3.72 |
| 6 | -1.70 |
| 7 | -3.84 |
| 8 | -3.68 |